Density functional theory data (PBE) for KNaSeF6 after structural relaxation.

Values from the calculation:
The raw formation energy is -20.36 eV per formula unit. For the density of states at the Fermi level, the calculation gives 0.0 states/eV/f.u. The total moment is 0.00 μB/f.u. Its crystal system is trigonal. The calculation puts the electronic total energy at -4.165 eV per atom.

```
KNaSeF6
1.0
5.814 0.000 0.000
-2.907 5.035 0.000
0.000 0.000 5.444
K Na Se F
1 1 1 6
direct
0.000 0.000 0.000
0.333 0.667 0.500
0.667 0.333 0.500
0.394 0.046 0.704
0.394 0.348 0.296
0.652 0.046 0.296
0.652 0.606 0.704
0.954 0.348 0.704
0.954 0.606 0.296
```


Density functional theory data (PBE) for MnHgBr3 after structural relaxation.

Values from the calculation:
The raw formation energy is -1.88 eV per formula unit. For the density of states at the Fermi level, the calculation gives 2.7 states/eV/f.u. The total moment is 4.07 μB/f.u. Its crystal system is cubic. The calculation puts the electronic total energy at -3.274 eV per atom. The energy above the most stable polymorph in this dataset is 225 meV per atom.

```
MnHgBr3
1.0
5.207 0.000 0.000
0.000 5.207 0.000
0.000 0.000 5.207
Mn Hg Br
1 1 3
direct
0.000 0.000 0.000
0.500 0.500 0.500
0.000 0.000 0.500
0.000 0.500 0.000
0.500 0.000 0.000
```


Density functional theory data (PBE) for Ca4PbAu3 after structural relaxation.

Values from the calculation:
The formation enthalpy at 0 K comes out at -709 meV per atom. For the density of states at the Fermi level, the calculation gives 5.1 states/eV/f.u. The total moment is 0.00 μB/f.u. Its crystal system is tetragonal. The calculation puts the electronic total energy at -3.402 eV per atom.

```
Ca4PbAu3
1.0
-2.623 2.623 7.416
2.623 -2.623 7.416
2.623 2.623 -7.416
Ca Pb Au
4 1 3
direct
0.129 0.629 0.500
0.371 0.871 0.500
0.629 0.129 0.500
0.871 0.371 0.500
0.000 0.000 0.000
0.250 0.250 0.000
0.500 0.500 0.000
0.750 0.750 0.000
```


Density functional theory data (PBE) for TaCrW after structural relaxation.

Values from the calculation:
The formation enthalpy at 0 K comes out at 42 meV per atom. For the density of states at the Fermi level, the calculation gives 1.3 states/eV/f.u. The total moment is 0.00 μB/f.u. Its crystal system is orthorhombic. The calculation puts the electronic total energy at -11.435 eV per atom. The energy above the most stable polymorph in this dataset is 74 meV per atom.

```
TaCrW
1.0
0.000 2.251 6.518
1.575 0.000 6.518
1.575 2.251 0.000
Ta Cr W
1 1 1
direct
0.000 0.000 0.000
0.337 0.337 0.663
0.680 0.680 0.320
```


Density functional theory data (PBE) for SrCo2Ir after structural relaxation.

Values from the calculation:
The formation enthalpy at 0 K comes out at 583 meV per atom. For the density of states at the Fermi level, the calculation gives 4.9 states/eV/f.u. The total moment is 3.98 μB/f.u. Its crystal system is orthorhombic. The calculation puts the electronic total energy at -5.606 eV per atom.

```
SrCo2Ir
1.0
-1.510 2.530 4.784
1.510 -2.530 4.784
1.510 2.530 -4.784
Sr Co Ir
1 2 1
direct
0.000 0.000 0.000
0.293 0.793 0.500
0.707 0.207 0.500
0.500 0.500 0.000
```


Density functional theory data (PBE) for Re3Tc13 after structural relaxation.

Values from the calculation:
The formation enthalpy at 0 K comes out at 3 meV per atom. For the density of states at the Fermi level, the calculation gives 17.9 states/eV/f.u. The total moment is 0.00 μB/f.u. Its crystal system is orthorhombic. The calculation puts the electronic total energy at -10.753 eV per atom.

```
Re3Tc13
1.0
5.519 0.000 0.000
0.000 4.427 4.789
0.000 -4.427 4.789
Re Tc
3 13
direct
0.000 0.000 0.000
0.249 0.751 0.751
0.751 0.751 0.751
0.000 0.416 0.917
0.000 0.501 0.501
0.000 0.917 0.416
0.250 0.168 0.665
0.250 0.665 0.168
0.251 0.250 0.250
0.500 0.001 0.001
0.500 0.416 0.917
0.500 0.500 0.500
0.500 0.917 0.416
0.749 0.250 0.250
0.750 0.168 0.665
0.750 0.665 0.168
```


Density functional theory data (PBE) for LaDy2Cd2 after structural relaxation.

Values from the calculation:
The formation enthalpy at 0 K comes out at -249 meV per atom. For the density of states at the Fermi level, the calculation gives 5.4 states/eV/f.u. The total moment is 0.00 μB/f.u. Its crystal system is monoclinic. The calculation puts the electronic total energy at -3.441 eV per atom. The energy above the most stable polymorph in this dataset is 0 meV per atom.

```
LaDy2Cd2
1.0
3.768 0.000 0.000
0.000 5.499 0.000
-1.887 0.000 13.931
La Dy Cd
2 4 4
direct
0.149 0.250 0.296
0.851 0.750 0.704
0.047 0.750 0.095
0.236 0.750 0.473
0.764 0.250 0.527
0.953 0.250 0.905
0.358 0.250 0.717
0.454 0.750 0.907
0.546 0.250 0.093
0.642 0.750 0.283
```


Density functional theory data (PBE) for CaAg3H after structural relaxation.

Values from the calculation:
For the density of states at the Fermi level, the calculation gives 1.7 states/eV/f.u. The total moment is 0.00 μB/f.u. Its crystal system is cubic. The calculation puts the electronic total energy at -2.685 eV per atom. The energy above the most stable polymorph in this dataset is 0 meV per atom.

```
CaAg3H
1.0
4.441 0.000 0.000
0.000 4.441 0.000
0.000 0.000 4.441
Ca Ag H
1 3 1
direct
0.000 0.000 0.000
0.000 0.500 0.500
0.500 0.000 0.500
0.500 0.500 0.000
0.500 0.500 0.500
```